[1]
Compound: Ba3Sr5Ti8O24
Source: the Alexandria database
Functional: PBEsol
Structure: relaxed

Unit cell a=7.863 b=7.863 c=7.861 alpha=90.00 beta=90.00 gamma=90.00
Space group P4/mmm (No. 123)
Symmetry-distinct sites (fractional):
Ba 0.000 0.000 0.000 [1 per cell]
Ba 0.000 0.500 0.000 [2 per cell]
Sr 0.000 0.000 0.500 [1 per cell]
Sr 0.000 0.500 0.500 [2 per cell]
Sr 0.500 0.500 0.000 [1 per cell]
Sr 0.500 0.500 0.500 [1 per cell]
Ti 0.251 0.251 0.254 [8 per cell]
O 0.000 0.251 0.258 [8 per cell]
O 0.251 0.251 0.500 [4 per cell]
O 0.253 0.500 0.255 [8 per cell]
O 0.254 0.254 0.000 [4 per cell]

Properties
- Calculated volume: 486.1 Å³/f.u.
- Energy relative to the elements, uncorrected: -3.17 eV per atom



[2]
Compound: Ba2SrTi3O9
Source: the Alexandria database
Functional: PBEsol
Structure: relaxed

Unit cell a=5.585 b=16.730 c=4.010 alpha=90.00 beta=90.00 gamma=90.00
Space group Cmm2 (No. 35)
Symmetry-distinct sites (fractional):
Ba 0.000 0.167 0.000 [4 per cell]
Sr 0.000 0.500 0.988 [2 per cell]
Ti 0.000 0.000 0.485 [2 per cell]
Ti 0.000 0.335 0.486 [4 per cell]
O 0.000 0.000 0.023 [2 per cell]
O 0.000 0.337 0.022 [4 per cell]
O 0.247 0.418 0.518 [8 per cell]
O 0.250 0.250 0.513 [4 per cell]

Properties
- Calculated volume: 187.3 Å³/f.u.
- Energy relative to the elements, uncorrected: -3.15 eV per atom



[3]
Compound: Ba2SrWO6
Source: the Alexandria database
Functional: PBEsol
Structure: relaxed

Unit cell a=8.591 b=8.591 c=8.591 alpha=90.00 beta=90.00 gamma=90.00
Space group Fm-3m (No. 225)
Symmetry-distinct sites (fractional):
Ba 0.250 0.250 0.250 [8 per cell]
Sr 0.000 0.000 0.000 [4 per cell]
W 0.000 0.000 0.500 [4 per cell]
O 0.000 0.000 0.276 [24 per cell]

Properties
- Calculated volume: 158.5 Å³/f.u.
- Energy relative to the elements, uncorrected: -2.73 eV per atom



[4]
Compound: Ba2SrWO6
Source: the Alexandria database
Functional: PBEsol
Structure: relaxed

Unit cell a=10.399 b=6.010 c=6.130 alpha=90.00 beta=124.85 gamma=90.00
Space group C2/m (No. 12)
Symmetry-distinct sites (fractional):
Ba 0.247 0.000 0.239 [4 per cell]
Sr 0.000 0.000 0.500 [2 per cell]
W 0.000 0.500 0.000 [2 per cell]
O 0.042 0.273 0.824 [8 per cell]
O 0.219 0.500 0.294 [4 per cell]

Properties
- Calculated volume: 157.2 Å³/f.u.
- Energy relative to the elements, uncorrected: -2.75 eV per atom



[5]
Compound: Ba3SrZn2W2O12
Source: the Alexandria database
Functional: PBEsol
Structure: relaxed

Unit cell a=5.7059 b=5.7059 c=27.9329 alpha=90.00 beta=90.00 gamma=120.00
Space group R3m (No. 160, hexagonal axes)
Symmetry-distinct sites (fractional):
Ba 0.0000 0.0000 0.0000 [3 per cell]
Ba 0.0000 0.0000 0.2498 [3 per cell]
Ba 0.0000 0.0000 0.4996 [3 per cell]
Sr 0.0000 0.0000 0.7497 [3 per cell]
Zn 0.0000 0.0000 0.1245 [3 per cell]
Zn 0.0000 0.0000 0.6251 [3 per cell]
W 0.0000 0.0000 0.3756 [3 per cell]
W 0.0000 0.0000 0.8739 [3 per cell]
O 0.0122 0.5061 0.0027 [9 per cell]
O 0.0168 0.5084 0.5004 [9 per cell]
O 0.1738 0.3476 0.0817 [9 per cell]
O 0.1741 0.3482 0.5808 [9 per cell]

Properties
- Calculated volume: 262.5 Å³/f.u.
- Energy relative to the elements, uncorrected: -2.47 eV per atom



[6]
Compound: Ba4Ta2O9
Source: the Alexandria database
Functional: PBEsol
Structure: relaxed

Unit cell a=6.0775 b=6.0775 c=16.5459 alpha=90.00 beta=90.00 gamma=120.00
Space group P6_3/m (No. 176)
Symmetry-distinct sites (fractional):
Ba 0.0000 0.0000 0.0000 [2 per cell]
Ba 0.0000 0.0000 0.2500 [2 per cell]
Ba 0.3333 0.6667 0.1346 [4 per cell]
Ta 0.3333 0.6667 0.6598 [4 per cell]
O 0.0451 0.4733 0.7500 [6 per cell]
O 0.1072 0.7529 0.6087 [12 per cell]

Properties
- Energy relative to the lowest polymorph listed for this composition: 0.0 meV/atom
- Calculated volume: 264.6 Å³/f.u.
- Energy relative to the elements, uncorrected: -2.96 eV per atom